Record 1
The following is a DFT calculation (PBE) of a geometry-optimized InSb2IO structure.

The structure in POSCAR format:
```
InSb2IO
1.0
-0.620 -0.213 -4.536
-1.060 -4.445 0.354
-6.691 1.663 0.837
I Sb O In
1 2 1 1
direct
0.000 0.000 0.500
0.000 0.500 0.000
0.500 0.000 0.000
0.000 0.000 0.000
0.500 0.500 0.500
```

Results
Volume ... 145.9 Å³/cell
M_tot ... 0.0 Bohr magnetons per cell
E_tot ... -0.2606 Ry/atom
DOS at the Fermi energy ... 3.909 states/eV/cell
Formation energy without anion corrections ... -48 meV per atom


Record 2
The following is a DFT calculation (PBE) of a geometry-optimized MnTl2Au structure.

The structure in POSCAR format:
```
MnTl2Au
1.0
4.630 0.000 0.000
0.000 4.635 0.000
0.000 0.000 4.118
Au Mn Tl
1 1 2
direct
0.500 0.000 0.500
0.000 0.500 0.500
0.000 0.000 0.000
0.500 0.500 0.000
```

Results
Volume ... 88.4 Å³/cell
M_tot ... 4.1 Bohr magnetons per cell
E_tot ... -0.2936 Ry/atom
DOS at the Fermi energy ... 2.101 states/eV/cell
ΔE_f ... 28.9 kJ/mol of atoms


Record 3
The following is a DFT calculation (PBE) of a geometry-optimized Mg2ScCr structure.

The structure in POSCAR format:
```
Mg2ScCr
1.0
-1.912 3.330 -9.430
-0.316 0.730 -10.151
-3.395 0.572 -9.582
Cr Mg Sc
1 2 1
direct
0.750 0.750 0.750
0.006 0.006 0.006
0.494 0.494 0.494
0.250 0.250 0.250
```

Results
Volume ... 85.3 Å³/cell
M_tot ... 3.8 Bohr magnetons per cell
E_tot ... -0.3251 Ry/atom
DOS at the Fermi energy ... 4.639 states/eV/cell
ΔE_f ... 35.0 kJ/mol of atoms


Record 4
The following is a DFT calculation (PBE) of a geometry-optimized BePb2W structure.

The structure in POSCAR format:
```
BePb2W
1.0
-2.925 0.524 -4.001
0.531 -3.065 -3.893
-3.503 -3.404 -0.988
Pb Be W
2 1 1
direct
0.000 0.000 0.000
0.250 0.250 0.250
0.500 0.500 0.500
0.750 0.750 0.750
```

Results
Volume ... 87.5 Å³/cell
M_tot ... 2.1 Bohr magnetons per cell
E_tot ... -0.3404 Ry/atom
DOS at the Fermi energy ... 3.965 states/eV/cell
ΔE_f ... 134.4 kJ/mol of atoms


Record 5
The following is a DFT calculation (PBE) of a geometry-optimized PmTmSc2Tl4 structure.

The structure in POSCAR format:
```
PmTmSc2Tl4
1.0
-0.256 -1.356 -5.069
4.066 -2.423 -2.279
-2.043 -8.897 -0.239
Pm Tm Sc Tl
1 1 2 4
direct
0.000 0.000 0.000
0.500 0.500 0.500
0.751 0.751 0.748
0.249 0.249 0.252
0.377 0.377 0.869
0.873 0.873 0.381
0.127 0.127 0.619
0.623 0.623 0.131
```

Results
Volume ... 205.9 Å³/cell
M_tot ... 0.0 Bohr magnetons per cell
E_tot ... -0.3091 Ry/atom
DOS at the Fermi energy ... 6.956 states/eV/cell
ΔE_f ... -27.6 kJ/mol of atoms


Which value of M_tot does entry 2 give?
4.1 Bohr magnetons per cell